Compound: VWO6
Source: Alexandria
Functional: GGA+U
Structure: relaxed

The space group is C2/m (No. 12) and the conventional cell measures 4.792, 9.721 and 4.790 Å, with angles of 90.00, 104.83 and 90.00 degrees. The asymmetric unit holds V at (0.000, 0.000, 0.000), W at (0.000, 0.500, 0.500), O at (0.244, 0.130, 0.245) and O at (0.247, 0.000, 0.754).

The energy comes out at -7.016 eV/atom.